Ce5Hg2Rh2 | GGA-PBE | optimized geometry

Properties
Crystal system: orthorhombic
ΔH_f (0 K), meV/atom: -309
Density of states at the Fermi level, states/eV per atom: 2.81
Calculated volume, Å³/cell: 470.5

Cell: 9.8045 9.8045 9.8045 Å, 67.46 128.40 139.66°
Element x y z (fractional)
Ce 0.1410 0.4092 0.0544
Ce 0.1410 0.5866 0.2318
Ce 0.2130 0.0464 0.2594
Ce 0.2130 0.4536 0.6667
Ce 0.3548 0.0866 0.9456
Ce 0.3548 0.9092 0.7682
Ce 0.4294 0.3847 0.5447
Ce 0.7870 0.5464 0.3333
Ce 0.7870 0.9536 0.7406
Ce 0.8400 0.8847 0.4553
Hg 0.6464 0.1015 0.3517
Hg 0.6464 0.7947 0.0449
Hg 0.7498 0.2947 0.6483
Hg 0.7498 0.6015 0.9551
Rh 0.3027 0.3027 0.0000
Rh 0.3027 0.8027 0.5000
Rh 0.9181 0.1694 0.2487
Rh 0.9207 0.6694 0.7513

---

Pm2CdGa4Rh3 | GGA-PBE | optimized geometry

Properties
Crystal system: tetragonal
ΔH_f (0 K), meV/atom: -647
Density of states at the Fermi level, states/eV per atom: 0.93
Calculated volume, Å³/cell: 193.5

Cell: 4.1581 4.1581 11.1893 Å, 90.00 90.00 90.00°
Element x y z (fractional)
Pm 0.0000 0.5000 0.2346
Pm 0.5000 0.0000 0.7654
Cd 0.0000 0.0000 0.5000
Ga 0.0000 0.0000 0.0000
Ga 0.0000 0.5000 0.6463
Ga 0.5000 0.0000 0.3537
Ga 0.5000 0.5000 0.0000
Rh 0.0000 0.5000 0.8698
Rh 0.5000 0.0000 0.1302
Rh 0.5000 0.5000 0.5000

---

HgSbPt2 | GGA-PBE | optimized geometry

Properties
Crystal system: orthorhombic
Density of states at the Fermi level, states/eV per atom: 0.44
Calculated volume, Å³/cell: 339.0
Formation energy from raw total energies, meV per atom: -275

Cell: 8.4053 7.2527 5.5613 Å, 90.00 90.00 90.00°
Element x y z (fractional)
Hg 0.1142 0.0982 0.2500
Hg 0.1142 0.4018 0.7500
Hg 0.8858 0.5982 0.2500
Hg 0.8858 0.9018 0.7500
Sb 0.3733 0.5745 0.2500
Sb 0.3733 0.9255 0.7500
Sb 0.6267 0.0745 0.2500
Sb 0.6267 0.4255 0.7500
Pt 0.1500 0.7500 0.0000
Pt 0.1500 0.7500 0.5000
Pt 0.3897 0.2500 0.0000
Pt 0.3897 0.2500 0.5000
Pt 0.6103 0.7500 0.0000
Pt 0.6103 0.7500 0.5000
Pt 0.8500 0.2500 0.0000
Pt 0.8500 0.2500 0.5000

---

LiPmDy2Cd4 | GGA-PBE | optimized geometry

Properties
Crystal system: trigonal
ΔH_f (0 K), meV/atom: -269
Density of states at the Fermi level, states/eV per atom: 0.99
Calculated volume, Å³/cell: 202.9

Cell: 9.1488 9.1488 9.1488 Å, 33.07 33.07 33.07°
Element x y z (fractional)
Li 0.0000 0.0000 0.0000
Pm 0.5000 0.5000 0.5000
Dy 0.2527 0.2527 0.2527
Dy 0.7473 0.7473 0.7473
Cd 0.1172 0.1172 0.1172
Cd 0.3729 0.3729 0.3729
Cd 0.6271 0.6271 0.6271
Cd 0.8828 0.8828 0.8828

---

TbEr3Tm3 | GGA-PBE | optimized geometry

Properties
Crystal system: trigonal
ΔH_f (0 K), meV/atom: 143
Energy above the most stable polymorph in this dataset, meV/atom: 140
Density of states at the Fermi level, states/eV per atom: 1.42
Calculated volume, Å³/cell: 446.5

Cell: 14.4077 14.4077 14.4077 Å, 24.34 24.34 24.34°
Element x y z (fractional)
Tb 0.1667 0.1667 0.1667
Tb 0.8333 0.8333 0.8333
Er 0.0356 0.6986 0.3669
Er 0.3014 0.6331 0.9644
Er 0.3669 0.0356 0.6986
Er 0.6331 0.9644 0.3014
Er 0.6986 0.3669 0.0356
Er 0.9644 0.3014 0.6331
Tm 0.0989 0.4331 0.7672
Tm 0.2328 0.9011 0.5669
Tm 0.4331 0.7672 0.0989
Tm 0.5669 0.2328 0.9011
Tm 0.7672 0.0989 0.4331
Tm 0.9011 0.5669 0.2328

---

TbCeC | GGA-PBE | optimized geometry

Properties
Crystal system: trigonal
ΔH_f (0 K), meV/atom: -180
Energy above the most stable polymorph in this dataset, meV/atom: 11
Density of states at the Fermi level, states/eV per atom: 1.56
Calculated volume, Å³/cell: 70.2

Cell: 3.5537 3.5537 6.4190 Å, 90.00 90.00 120.00°
Element x y z (fractional)
Tb 0.0000 0.0000 0.0000
Ce 0.6667 0.3333 0.5658
C 0.3333 0.6667 0.7801